# Y3Cd2C

Crystalline Y3Cd2C at its relaxed geometry (PBE-GGA, Alexandria via LeMat-Bulk).

a = 5.0439 Å, b = 7.0474 Å, c = 8.2859 Å
α = 90.00°, β = 72.28°, γ = 90.00°
With the nearest neighbours (Å) after each atom.
Fractional coordinates of all 12 atoms:
1 Y 0.8893 0.5000 0.2215  2 C 2.48
2 Cd 0.2979 0.7500 0.4034  2 Cd 2.95, 1 Y 3.18
3 Y 0.1107 0.0000 0.7785  2 C 2.48
4 Y 0.1107 0.5000 0.7785  2 C 2.48
5 Cd 0.7013 0.7500 0.5966  2 Cd 2.95, 1 Y 3.18
6 Cd 0.7021 0.2500 0.5966  2 Cd 2.95, 1 Y 3.18
7 C 0.0000 0.2500 0.0000  6 Y 2.48-2.52
8 Y 0.5000 0.2500 0.0000  2 C 2.52
9 C 0.0000 0.7500 0.0000  6 Y 2.48-2.52
10 Y 0.8893 0.0000 0.2215  2 C 2.48
11 Y 0.5000 0.7500 0.0000  2 C 2.52
12 Cd 0.2987 0.2500 0.4034  2 Cd 2.95, 1 Y 3.18

Formation energy ... -7.7 kcal/mol of atoms
Space-group type ... Cmmm (65)



# Be2NbGa

Crystalline Be2NbGa at its relaxed geometry (PBE-GGA, Alexandria via LeMat-Bulk).

a = 3.6964 Å, b = 3.6964 Å, c = 4.7339 Å
α = 67.02°, β = 67.02°, γ = 60.00°
With the nearest neighbours (Å) after each atom.
Fractional coordinates of all 4 atoms:
1 Be 0.7111 0.7111 0.8667  3 Ga 2.21, 3 Be 2.41
2 Ga 0.0000 0.0000 0.0000  6 Be 2.21
3 Be 0.2889 0.2889 0.1333  3 Ga 2.21, 3 Be 2.41
4 Nb 0.5000 0.5000 0.5000  8 Be 2.64-2.68

Formation energy ... -1.0 kcal/mol of atoms
Space-group type ... R-3m (166)



# Tb2Si4Ir3

Crystalline Tb2Si4Ir3 at its relaxed geometry (PBE-GGA, Alexandria via LeMat-Bulk).

a = 5.5426 Å, b = 5.5426 Å, c = 6.5342 Å
α = 102.11°, β = 102.11°, γ = 120.36°
With the nearest neighbours (Å) after each atom.
Fractional coordinates of all 9 atoms:
1 Ir 0.0000 0.0000 0.0000  4 Si 2.53, 4 Ir 2.77
2 Si 0.0154 0.6656 0.6810  3 Ir 2.45-2.53, 1 Si 2.59
3 Tb 0.3659 0.3659 0.7319  8 Si 2.97-3.24, 1 Tb 3.18, 6 Ir 3.18-3.19
4 Si 0.3344 0.9846 0.3190  3 Ir 2.45-2.53, 1 Si 2.59
5 Si 0.6656 0.0154 0.6810  3 Ir 2.45-2.53, 1 Si 2.59
6 Ir 0.5000 0.0000 0.0000  4 Si 2.45
7 Tb 0.6341 0.6341 0.2681  8 Si 2.97-3.24, 1 Tb 3.18, 6 Ir 3.18-3.19
8 Ir 0.0000 0.5000 0.0000  4 Si 2.45
9 Si 0.9846 0.3344 0.3190  3 Ir 2.45-2.53, 1 Si 2.59

Energy relative to the lowest polymorph listed for this composition ... 1.69 eV/f.u.
ΔE_f (raw) ... -752 meV per atom
Space-group type ... Fmmm (69)